No. 1
A plane-wave DFT calculation with PBE was carried out for a relaxed Ti2TlAg crystal.

Computed properties:
The calculation puts the energy of formation at 0.0903 eV/atom. The mass density is 9.06 g/cm³.

Cell and atoms, written as CIF:
```
data_Ti2TlAg
_space_group_name_H-M_alt 'P 4/m m m'
_space_group_IT_number 123
_space_group_name_Hall '-P 4 2'
_cell_length_a 4.2183
_cell_length_b 4.2183
_cell_length_c 4.2015
_cell_angle_alpha 90.00
_cell_angle_beta 90.00
_cell_angle_gamma 90.00
loop_
_atom_site_label
_atom_site_fract_x
_atom_site_fract_y
_atom_site_fract_z
Ti1 0.0000 0.5000 0.0000
Tl1 0.0000 0.0000 0.5000
Ag1 0.5000 0.5000 0.5000
```

No. 2
A plane-wave DFT calculation with PBE was carried out for a relaxed TiTl2Ag crystal.

Computed properties:
The calculation puts the energy of formation at 0.2986 eV/atom. The mass density is 10.83 g/cm³.

Cell and atoms, written as CIF:
```
data_TiTl2Ag
_space_group_name_H-M_alt 'F m -3 m'
_space_group_IT_number 225
_space_group_name_Hall '-F 4 2 3'
_cell_length_a 7.0213
_cell_length_b 7.0213
_cell_length_c 7.0213
_cell_angle_alpha 90.00
_cell_angle_beta 90.00
_cell_angle_gamma 90.00
loop_
_atom_site_label
_atom_site_fract_x
_atom_site_fract_y
_atom_site_fract_z
Ti1 0.0000 0.0000 0.0000
Tl1 0.2500 0.2500 0.2500
Ag1 0.0000 0.0000 0.5000
```

No. 3
A plane-wave DFT calculation with PBE was carried out for a relaxed TiTlAg2 crystal.

Computed properties:
The calculation puts the energy of formation at 0.1633 eV/atom. The mass density is 9.77 g/cm³.

Cell and atoms, written as CIF:
```
data_TiTlAg2
_space_group_name_H-M_alt 'P 4/m m m'
_space_group_IT_number 123
_space_group_name_Hall '-P 4 2'
_cell_length_a 3.5486
_cell_length_b 3.5486
_cell_length_c 6.3162
_cell_angle_alpha 90.00
_cell_angle_beta 90.00
_cell_angle_gamma 90.00
loop_
_atom_site_label
_atom_site_fract_x
_atom_site_fract_y
_atom_site_fract_z
Ti1 0.0000 0.0000 0.0000
Tl1 0.0000 0.0000 0.5000
Ag1 0.5000 0.5000 0.2233
```

No. 4
A plane-wave DFT calculation with PBE was carried out for a relaxed TiTlAg crystal.

Computed properties:
The calculation puts the energy of formation at 0.1709 eV/atom. The mass density is 9.91 g/cm³.

Cell and atoms, written as CIF:
```
data_TiTlAg
_space_group_name_H-M_alt 'C m c m'
_space_group_IT_number 63
_space_group_name_Hall '-C 2c 2'
_cell_length_a 3.1378
_cell_length_b 19.0273
_cell_length_c 4.0435
_cell_angle_alpha 90.00
_cell_angle_beta 90.00
_cell_angle_gamma 90.00
loop_
_atom_site_label
_atom_site_fract_x
_atom_site_fract_y
_atom_site_fract_z
Ti1 0.0000 0.2140 0.2500
Tl1 0.0000 0.3708 0.2500
Ag1 0.0000 0.0506 0.2500
```

No. 5
A plane-wave DFT calculation with PBE was carried out for a relaxed TmTiTlAg crystal.

Computed properties:
The calculation puts the energy of formation at -0.0575 eV/atom. The mass density is 10.04 g/cm³.

Cell and atoms, written as CIF:
```
data_TmTiTlAg
_space_group_name_H-M_alt 'F -4 3 m'
_space_group_IT_number 216
_space_group_name_Hall 'F -4 2 3'
_cell_length_a 7.0477
_cell_length_b 7.0477
_cell_length_c 7.0477
_cell_angle_alpha 90.00
_cell_angle_beta 90.00
_cell_angle_gamma 90.00
loop_
_atom_site_label
_atom_site_fract_x
_atom_site_fract_y
_atom_site_fract_z
Tm1 0.0000 0.0000 0.0000
Ti1 0.0000 0.0000 0.5000
Tl1 0.2500 0.2500 0.2500
Ag1 0.2500 0.2500 0.7500
```

No. 6
A plane-wave DFT calculation with PBE was carried out for a relaxed Tm2TiAg crystal.

Computed properties:
The calculation puts the energy of formation at 0.3736 eV/atom. The mass density is 8.47 g/cm³.

Cell and atoms, written as CIF:
```
data_Tm2TiAg
_space_group_name_H-M_alt 'R -3 m'
_space_group_IT_number 166
_space_group_name_Hall '-R 3 2"'
_cell_length_a 3.2039
_cell_length_b 3.2039
_cell_length_c 32.6521
_cell_angle_alpha 90.00
_cell_angle_beta 90.00
_cell_angle_gamma 120.00
loop_
_atom_site_label
_atom_site_fract_x
_atom_site_fract_y
_atom_site_fract_z
Tm1 0.0000 0.0000 0.0894
Ti1 0.0000 0.0000 0.0000
Ag1 0.0000 0.0000 0.5000
```

No. 7
A plane-wave DFT calculation with PBE was carried out for a relaxed Tm2TiAg crystal.

Computed properties:
The calculation puts the energy of formation at 0.0221 eV/atom. The mass density is 8.78 g/cm³.

Cell and atoms, written as CIF:
```
data_Tm2TiAg
_space_group_name_H-M_alt 'P 4/m m m'
_space_group_IT_number 123
_space_group_name_Hall '-P 4 2'
_cell_length_a 5.0650
_cell_length_b 5.0650
_cell_length_c 3.6392
_cell_angle_alpha 90.00
_cell_angle_beta 90.00
_cell_angle_gamma 90.00
loop_
_atom_site_label
_atom_site_fract_x
_atom_site_fract_y
_atom_site_fract_z
Tm1 0.0000 0.5000 0.0000
Ti1 0.0000 0.0000 0.5000
Ag1 0.5000 0.5000 0.5000
```

No. 8
A plane-wave DFT calculation with PBE was carried out for a relaxed Tm2TiAg crystal.

Computed properties:
The calculation puts the energy of formation at -0.0578 eV/atom. The mass density is 8.87 g/cm³.

Cell and atoms, written as CIF:
```
data_Tm2TiAg
_space_group_name_H-M_alt 'P 4/m m m'
_space_group_IT_number 123
_space_group_name_Hall '-P 4 2'
_cell_length_a 3.3601
_cell_length_b 3.3601
_cell_length_c 8.1874
_cell_angle_alpha 90.00
_cell_angle_beta 90.00
_cell_angle_gamma 90.00
loop_
_atom_site_label
_atom_site_fract_x
_atom_site_fract_y
_atom_site_fract_z
Tm1 0.0000 0.0000 0.2483
Ti1 0.5000 0.5000 0.5000
Ag1 0.5000 0.5000 0.0000
```

No. 9
A plane-wave DFT calculation with PBE was carried out for a relaxed UTi2Ag crystal.

Computed properties:
The calculation puts the energy of formation at 0.2043 eV/atom. The mass density is 10.14 g/cm³.

Cell and atoms, written as CIF:
```
data_UTi2Ag
_space_group_name_H-M_alt 'P 4/m m m'
_space_group_IT_number 123
_space_group_name_Hall '-P 4 2'
_cell_length_a 3.3211
_cell_length_b 3.3211
_cell_length_c 6.5570
_cell_angle_alpha 90.00
_cell_angle_beta 90.00
_cell_angle_gamma 90.00
loop_
_atom_site_label
_atom_site_fract_x
_atom_site_fract_y
_atom_site_fract_z
U1 0.0000 0.0000 0.0000
Ti1 0.5000 0.5000 0.2343
Ag1 0.0000 0.0000 0.5000
```

No. 10
A plane-wave DFT calculation with PBE was carried out for a relaxed Ti2VAg crystal.

Computed properties:
The calculation puts the energy of formation at 0.0058 eV/atom. The mass density is 6.46 g/cm³.

Cell and atoms, written as CIF:
```
data_Ti2VAg
_space_group_name_H-M_alt 'P 4/m m m'
_space_group_IT_number 123
_space_group_name_Hall '-P 4 2'
_cell_length_a 3.0615
_cell_length_b 3.0615
_cell_length_c 6.9849
_cell_angle_alpha 90.00
_cell_angle_beta 90.00
_cell_angle_gamma 90.00
loop_
_atom_site_label
_atom_site_fract_x
_atom_site_fract_y
_atom_site_fract_z
Ti1 0.0000 0.0000 0.2179
V1 0.5000 0.5000 0.0000
Ag1 0.5000 0.5000 0.5000
```

No. 11
A plane-wave DFT calculation with PBE was carried out for a relaxed TiVAg2 crystal.

Computed properties:
The calculation puts the energy of formation at 0.3542 eV/atom. The mass density is 7.58 g/cm³.

Cell and atoms, written as CIF:
```
data_TiVAg2
_space_group_name_H-M_alt 'F m -3 m'
_space_group_IT_number 225
_space_group_name_Hall '-F 4 2 3'
_cell_length_a 6.5085
_cell_length_b 6.5085
_cell_length_c 6.5085
_cell_angle_alpha 90.00
_cell_angle_beta 90.00
_cell_angle_gamma 90.00
loop_
_atom_site_label
_atom_site_fract_x
_atom_site_fract_y
_atom_site_fract_z
Ti1 0.0000 0.0000 0.0000
V1 0.0000 0.0000 0.5000
Ag1 0.2500 0.2500 0.2500
```

No. 12
A plane-wave DFT calculation with PBE was carried out for a relaxed TiVAg crystal.

Computed properties:
The calculation puts the energy of formation at 0.0600 eV/atom. The mass density is 6.71 g/cm³.

Cell and atoms, written as CIF:
```
data_TiVAg
_space_group_name_H-M_alt 'I 4/m m m'
_space_group_IT_number 139
_space_group_name_Hall '-I 4 2'
_cell_length_a 2.9819
_cell_length_b 2.9819
_cell_length_c 22.9943
_cell_angle_alpha 90.00
_cell_angle_beta 90.00
_cell_angle_gamma 90.00
loop_
_atom_site_label
_atom_site_fract_x
_atom_site_fract_y
_atom_site_fract_z
Ti1 0.0000 0.0000 0.1477
V1 0.0000 0.0000 0.2807
Ag1 0.0000 0.0000 0.4400
```

No. 13
A plane-wave DFT calculation with PBE was carried out for a relaxed Ti2VAg crystal.

Computed properties:
The calculation puts the energy of formation at 0.1804 eV/atom. The mass density is 6.48 g/cm³.

Cell and atoms, written as CIF:
```
data_Ti2VAg
_space_group_name_H-M_alt 'F m -3 m'
_space_group_IT_number 225
_space_group_name_Hall '-F 4 2 3'
_cell_length_a 6.3899
_cell_length_b 6.3899
_cell_length_c 6.3899
_cell_angle_alpha 90.00
_cell_angle_beta 90.00
_cell_angle_gamma 90.00
loop_
_atom_site_label
_atom_site_fract_x
_atom_site_fract_y
_atom_site_fract_z
Ti1 0.2500 0.2500 0.2500
V1 0.0000 0.0000 0.0000
Ag1 0.0000 0.0000 0.5000
```

No. 14
A plane-wave DFT calculation with PBE was carried out for a relaxed TiV2Ag crystal.

Computed properties:
The calculation puts the energy of formation at 0.6292 eV/atom. The mass density is 6.52 g/cm³.

Cell and atoms, written as CIF:
```
data_TiV2Ag
_space_group_name_H-M_alt 'I -4 2 d'
_space_group_IT_number 122
_space_group_name_Hall 'I -4 2bw'
_cell_length_a 3.7044
_cell_length_b 3.7044
_cell_length_c 19.1285
_cell_angle_alpha 90.00
_cell_angle_beta 90.00
_cell_angle_gamma 90.00
loop_
_atom_site_label
_atom_site_fract_x
_atom_site_fract_y
_atom_site_fract_z
Ti1 0.0000 0.0000 0.0000
V1 0.2334 0.2500 0.1250
Ag1 0.0000 0.0000 0.5000
```